(1)
This record from the Alexandria database describes a relaxed Ce3B9C2 crystal. The functional is GGA-PBE.

Values from the calculation:
- DOS at the Fermi energy: 10.98 states/eV/cell
- Formation energy from the elements: 3.06 eV per formula unit

a = 3.115 Å, b = 7.437 Å, c = 7.437 Å
α = 80.80°, β = 77.91°, γ = 77.91°
Sites, in units of the cell vectors:
B1 0.366 0.341 0.928
B2 0.366 0.928 0.341
B3 0.634 0.072 0.659
B4 0.211 0.040 0.538
B5 0.000 0.500 0.500
B6 0.634 0.659 0.072
B7 0.211 0.538 0.040
B8 0.789 0.462 0.960
B9 0.789 0.960 0.462
Ce1 0.681 0.319 0.319
Ce2 0.000 0.000 0.000
Ce3 0.319 0.681 0.681
C1 0.500 0.782 0.218
C2 0.500 0.218 0.782

---

(2)
This record from the Alexandria database describes a relaxed CeB2C crystal. The functional is GGA-PBE.

Values from the calculation:
- DOS at the Fermi energy: 4.15 states/eV/cell
- Formation energy from the elements: -1.13 eV per formula unit

a = 3.927 Å, b = 4.563 Å, c = 5.653 Å
α = 90.00°, β = 90.00°, γ = 102.65°
Sites, in units of the cell vectors:
Ce1 0.141 0.297 0.250
Ce2 0.859 0.703 0.750
B1 0.524 0.891 0.396
B2 0.476 0.109 0.604
B3 0.524 0.891 0.104
B4 0.476 0.109 0.896
C1 0.265 0.295 0.750
C2 0.735 0.705 0.250

---

(3)
This record from the Alexandria database describes a relaxed Ce4B3C5 crystal. The functional is GGA-PBE.

Values from the calculation:
- DOS at the Fermi energy: 8.89 states/eV/cell
- Formation energy from the elements: 0.36 eV per formula unit

a = 3.678 Å, b = 5.724 Å, c = 8.858 Å
α = 67.39°, β = 78.02°, γ = 71.26°
Sites, in units of the cell vectors:
C1 0.500 0.500 0.500
C2 0.297 0.263 0.143
C3 0.703 0.737 0.857
C4 0.598 0.013 0.790
C5 0.402 0.987 0.210
Ce1 0.102 0.715 0.081
Ce2 0.898 0.285 0.919
Ce3 0.273 0.806 0.648
Ce4 0.727 0.194 0.352
B1 0.000 0.500 0.500
B2 0.525 0.282 0.668
B3 0.475 0.718 0.332

---

(4)
This record from the Alexandria database describes a relaxed CeBC crystal. The functional is GGA-PBE.

Values from the calculation:
- DOS at the Fermi energy: 2.35 states/eV/cell
- Formation energy from the elements: -1.06 eV per formula unit

a = 4.320 Å, b = 2.979 Å, c = 2.979 Å
α = 120.00°, β = 90.00°, γ = 90.00°
Sites, in units of the cell vectors:
Ce1 0.667 0.333 0.667
C1 0.167 0.667 0.333
B1 0.167 0.000 0.000

---

(5)
This record from the Alexandria database describes a relaxed Ce2BC3 crystal. The functional is GGA-PBE.

Values from the calculation:
- DOS at the Fermi energy: 8.79 states/eV/cell
- Formation energy from the elements: 0.29 eV per formula unit

a = 5.201 Å, b = 5.201 Å, c = 5.874 Å
α = 106.44°, β = 106.44°, γ = 111.15°
Sites, in units of the cell vectors:
Ce1 0.750 0.250 0.500
Ce2 0.747 0.253 0.000
Ce3 0.253 0.747 0.000
Ce4 0.250 0.750 0.500
C1 0.161 0.161 0.321
C2 0.840 0.840 0.161
C3 0.321 0.321 0.161
C4 0.679 0.679 0.839
C5 0.839 0.839 0.679
C6 0.160 0.160 0.839
B1 0.333 0.333 0.666
B2 0.667 0.667 0.334

---

(6)
This record from the Alexandria database describes a relaxed CeBC3 crystal. The functional is GGA-PBE.

Values from the calculation:
- DOS at the Fermi energy: 5.44 states/eV/cell
- Formation energy from the elements: 0.19 eV per formula unit

a = 3.696 Å, b = 5.274 Å, c = 6.709 Å
α = 90.00°, β = 109.19°, γ = 90.00°
Sites, in units of the cell vectors:
C1 0.544 0.750 0.669
C2 0.000 0.500 0.000
C3 0.000 0.000 0.000
C4 0.235 0.750 0.514
C5 0.765 0.250 0.486
C6 0.456 0.250 0.331
B1 0.869 0.750 0.885
B2 0.131 0.250 0.115
Ce1 0.404 0.250 0.770
Ce2 0.596 0.750 0.230

---

(7)
This record from the Alexandria database describes a relaxed Ce3BC4 crystal. The functional is GGA-PBE.

Values from the calculation:
- DOS at the Fermi energy: 7.19 states/eV/cell
- Formation energy from the elements: 0.79 eV per formula unit

a = 4.038 Å, b = 4.232 Å, c = 6.864 Å
α = 107.96°, β = 107.11°, γ = 90.00°
Sites, in units of the cell vectors:
Ce1 0.821 0.821 0.641
Ce2 0.000 0.500 0.000
Ce3 0.179 0.179 0.359
C1 0.387 0.559 0.775
C2 0.387 0.216 0.775
C3 0.613 0.784 0.225
C4 0.613 0.441 0.225
B1 0.500 0.000 0.000

---

(8)
This record from the Alexandria database describes a relaxed Ce3B4C2 crystal. The functional is GGA-PBE.

Values from the calculation:
- DOS at the Fermi energy: 6.44 states/eV/cell
- Formation energy from the elements: -0.96 eV per formula unit

a = 3.994 Å, b = 6.700 Å, c = 6.700 Å
α = 52.31°, β = 72.66°, γ = 72.66°
Sites, in units of the cell vectors:
B1 0.876 0.458 0.791
B2 0.124 0.542 0.209
B3 0.876 0.791 0.458
B4 0.124 0.209 0.542
Ce1 0.669 0.831 0.831
Ce2 0.331 0.169 0.169
Ce3 0.500 0.500 0.500
C1 0.000 0.760 0.240
C2 0.000 0.240 0.760

---

(9)
This record from the Alexandria database describes a relaxed CeBC crystal. The functional is GGA-PBE.

Values from the calculation:
- DOS at the Fermi energy: 3.08 states/eV/cell
- Formation energy from the elements: 0.26 eV per formula unit

a = 3.817 Å, b = 3.817 Å, c = 4.225 Å
α = 116.86°, β = 116.86°, γ = 90.00°
Sites, in units of the cell vectors:
B1 0.344 0.344 0.689
C1 0.563 0.563 0.125
Ce1 0.943 0.943 0.886

---

(10)
This record from the Alexandria database describes a relaxed Ce3B2C6 crystal. The functional is GGA-PBE.

Values from the calculation:
- DOS at the Fermi energy: 5.20 states/eV/cell
- Formation energy from the elements: 5.47 eV per formula unit

a = 3.538 Å, b = 3.538 Å, c = 10.723 Å
α = 99.49°, β = 99.49°, γ = 90.00°
Sites, in units of the cell vectors:
C1 0.304 0.304 0.607
C2 0.913 0.413 0.825
C3 0.413 0.913 0.825
C4 0.587 0.087 0.175
C5 0.087 0.587 0.175
C6 0.696 0.696 0.393
Ce1 0.181 0.181 0.362
Ce2 0.000 0.000 0.000
Ce3 0.819 0.819 0.638
B1 0.379 0.379 0.759
B2 0.621 0.621 0.241

---

(11)
This record from the Alexandria database describes a relaxed Ce4B5C2 crystal. The functional is GGA-PBE.

Values from the calculation:
- DOS at the Fermi energy: 11.36 states/eV/cell
- Formation energy from the elements: -2.71 eV per formula unit

a = 3.630 Å, b = 6.473 Å, c = 6.596 Å
α = 100.10°, β = 90.00°, γ = 90.00°
Sites, in units of the cell vectors:
B1 0.000 0.604 0.792
B2 0.000 0.862 0.773
B3 0.000 0.500 0.000
B4 0.000 0.396 0.208
B5 0.000 0.138 0.227
Ce1 0.500 0.727 0.501
Ce2 0.500 0.191 0.927
Ce3 0.500 0.273 0.499
Ce4 0.500 0.809 0.073
C1 0.000 0.013 0.614
C2 0.000 0.987 0.386

---

(12)
This record from the Alexandria database describes a relaxed Ce3BC3 crystal. The functional is GGA-PBE.

Values from the calculation:
- DOS at the Fermi energy: 17.23 states/eV/cell
- Formation energy from the elements: -1.47 eV per formula unit

a = 5.374 Å, b = 6.952 Å, c = 6.952 Å
α = 120.00°, β = 90.00°, γ = 90.00°
Sites, in units of the cell vectors:
C1 0.250 0.683 0.578
C2 0.750 0.578 0.895
C3 0.250 0.422 0.105
C4 0.750 0.105 0.683
C5 0.750 0.317 0.422
C6 0.250 0.895 0.317
Ce1 0.250 0.075 0.718
Ce2 0.750 0.718 0.643
Ce3 0.250 0.282 0.357
Ce4 0.250 0.643 0.925
Ce5 0.750 0.357 0.075
Ce6 0.750 0.925 0.282
B1 0.250 0.667 0.333
B2 0.750 0.333 0.667

---

(13)
This record from the Alexandria database describes a relaxed CeB2C crystal. The functional is GGA-PBE.

Values from the calculation:
- DOS at the Fermi energy: 1.60 states/eV/cell
- Formation energy from the elements: 2.93 eV per formula unit

a = 3.197 Å, b = 3.197 Å, c = 4.967 Å
α = 71.23°, β = 71.23°, γ = 60.00°
Sites, in units of the cell vectors:
B1 0.693 0.693 0.922
B2 0.307 0.307 0.078
Ce1 0.500 0.500 0.500
C1 0.000 0.000 0.000

---

(14)
This record from the Alexandria database describes a relaxed CeBC crystal. The functional is GGA-PBE.

Values from the calculation:
- DOS at the Fermi energy: 6.48 states/eV/cell
- Formation energy from the elements: 0.07 eV per formula unit

a = 4.364 Å, b = 3.255 Å, c = 5.915 Å
α = 90.00°, β = 78.57°, γ = 90.00°
Sites, in units of the cell vectors:
C1 0.691 0.750 0.960
C2 0.309 0.250 0.040
B1 0.352 0.750 0.142
B2 0.648 0.250 0.858
Ce1 0.806 0.250 0.270
Ce2 0.194 0.750 0.730

---

(15)
This record from the Alexandria database describes a relaxed Ce2BC crystal. The functional is GGA-PBE.

Values from the calculation:
- DOS at the Fermi energy: 7.97 states/eV/cell
- Formation energy from the elements: -0.27 eV per formula unit

a = 3.423 Å, b = 3.047 Å, c = 7.418 Å
α = 101.84°, β = 103.33°, γ = 90.00°
Sites, in units of the cell vectors:
Ce1 0.871 0.880 0.741
Ce2 0.129 0.138 0.259
B1 0.500 0.509 0.000
C1 0.500 0.009 0.000

---

(16)
This record from the Alexandria database describes a relaxed Ce6BC2Cl3 crystal. The functional is GGA-PBE.

Values from the calculation:
- Energy relative to the elements, uncorrected: -0.91 eV/atom
- DOS at the Fermi energy: 20.30 states/eV/cell

a = 3.748 Å, b = 8.254 Å, c = 9.071 Å
α = 110.41°, β = 101.92°, γ = 90.00°
Sites, in units of the cell vectors:
Ce1 0.679 0.555 0.358
Ce2 0.659 0.120 0.318
Ce3 0.016 0.230 0.032
Ce4 0.984 0.770 0.968
Ce5 0.321 0.445 0.642
Ce6 0.341 0.880 0.682
Cl1 0.164 0.834 0.327
Cl2 0.836 0.166 0.673
Cl3 0.500 0.500 0.000
B1 0.500 0.000 0.000
C1 0.169 0.338 0.339
C2 0.831 0.662 0.661

---

(17)
This record from the Alexandria database describes a relaxed CeMn2BC crystal. The functional is GGA-PBE.

Values from the calculation:
- DOS at the Fermi energy: 10.61 states/eV/cell
- Formation energy from the elements: -1.28 eV per formula unit

a = 3.648 Å, b = 5.265 Å, c = 6.743 Å
α = 90.00°, β = 90.00°, γ = 110.27°
Sites, in units of the cell vectors:
B1 0.736 0.472 0.750
B2 0.264 0.528 0.250
Mn1 0.186 0.371 0.940
Mn2 0.186 0.371 0.560
Mn3 0.814 0.629 0.440
Mn4 0.814 0.629 0.060
C1 0.000 0.000 0.500
C2 0.000 0.000 0.000
Ce1 0.460 0.920 0.750
Ce2 0.540 0.080 0.250

---

(18)
This record from the Alexandria database describes a relaxed Ce2Mn2BC2 crystal. The functional is GGA-PBE.

Values from the calculation:
- DOS at the Fermi energy: 8.23 states/eV/cell
- Formation energy from the elements: -1.23 eV per formula unit

a = 3.438 Å, b = 5.403 Å, c = 5.926 Å
α = 67.76°, β = 73.14°, γ = 71.45°
Sites, in units of the cell vectors:
Mn1 0.792 0.326 0.090
Mn2 0.208 0.674 0.910
Ce1 0.432 0.791 0.346
Ce2 0.568 0.209 0.654
C1 0.197 0.371 0.235
C2 0.803 0.629 0.765
B1 0.000 0.000 0.000

---

(19)
This record from the Alexandria database describes a relaxed CeMnBC crystal. The functional is GGA-PBE.

Values from the calculation:
- DOS at the Fermi energy: 3.49 states/eV/cell
- Formation energy from the elements: 1.06 eV per formula unit

a = 2.770 Å, b = 2.954 Å, c = 6.021 Å
α = 104.20°, β = 90.00°, γ = 90.00°
Sites, in units of the cell vectors:
C1 0.000 0.648 0.297
Ce1 0.500 0.280 0.559
B1 0.000 0.966 0.931
Mn1 0.500 0.537 0.073

---

(20)
This record from the Alexandria database describes a relaxed Ce2BCN crystal. The functional is GGA-PBE.

Values from the calculation:
- Energy relative to the elements, uncorrected: -0.71 eV/atom
- DOS at the Fermi energy: 11.96 states/eV/cell

a = 3.122 Å, b = 6.444 Å, c = 7.231 Å
α = 105.25°, β = 90.00°, γ = 90.00°
Sites, in units of the cell vectors:
Ce1 0.750 0.743 0.553
Ce2 0.250 0.257 0.447
Ce3 0.750 0.778 0.077
Ce4 0.250 0.222 0.923
C1 0.750 0.465 0.756
C2 0.250 0.535 0.244
N1 0.250 0.827 0.830
N2 0.750 0.173 0.170
B1 0.250 0.581 0.779
B2 0.750 0.419 0.221